# Li4MnVP3O12 GGA+U optimized geometry
data_Li4MnVP3O12
_symmetry_space_group_name_H-M 'P -1'
_symmetry_Int_Tables_number 2
_cell_length_a 8.416
_cell_length_b 8.458
_cell_length_c 9.340
_cell_angle_alpha 116.49
_cell_angle_beta 90.62
_cell_angle_gamma 119.42
loop_
_symmetry_equiv_pos_as_xyz
'x,y,z'
'-x,-y,-z'
loop_
_atom_site_label
_atom_site_fract_x
_atom_site_fract_y
_atom_site_fract_z
Li1 0.059 0.369 0.097
Li2 0.207 0.673 0.409
Li3 0.262 0.195 0.866
Li4 0.345 0.081 0.156
Mn1 0.149 0.291 0.441
V1 0.351 0.688 0.029
P1 0.054 0.785 0.247
P2 0.254 0.810 0.762
P3 0.455 0.510 0.246
O1 0.039 0.787 0.410
O2 0.131 0.894 0.754
O3 0.148 0.359 0.890
O4 0.150 0.002 0.261
O5 0.170 0.681 0.178
O6 0.206 0.737 0.895
O7 0.214 0.625 0.592
O8 0.252 0.430 0.268
O9 0.392 0.375 0.594
O10 0.447 0.308 0.105
O11 0.472 0.990 0.828
O12 0.496 0.656 0.173
# E = -0.256 Ha/atom